(1)
Compound: In2SnRuCl
Source: the Alexandria database
Functional: PBE
Structure: optimized geometry

Calculated values
E in eV/atom: -4.417
Raw formation energy in meV/atom: -296

Cell lengths 5.204, 5.204, 5.062 Å; angles 90.00, 90.00, 90.00 degrees
Space group P4/mmm (No. 123)
Inequivalent atoms, fractional coordinates:
In: 0.000 0.500 0.000 x2
Sn: 0.000 0.000 0.500 x1
Ru: 0.000 0.000 0.000 x1
Cl: 0.500 0.500 0.500 x1

***

(2)
Compound: VInRuCl2
Source: the Alexandria database
Functional: PBE
Structure: optimized geometry

Calculated values
E in eV/atom: -3.351
Raw formation energy in meV/atom: 1615

Cell lengths 4.860, 4.860, 5.807 Å; angles 90.00, 90.00, 90.00 degrees
Space group P4/mmm (No. 123)
Inequivalent atoms, fractional coordinates:
V: 0.000 0.000 0.000 x1
In: 0.000 0.000 0.500 x1
Ru: 0.500 0.500 0.000 x1
Cl: 0.000 0.500 0.500 x2